Model A:
Here is a relaxed Tl2RuBr crystal from Alexandria. Energies are from GGA-PBE.

Unit cell a=3.8277 b=3.8277 c=7.9847 alpha=90.00 beta=90.00 gamma=90.00
Fractional positions:
Tl 0.0000 0.0000 0.0000
Tl 0.5000 0.5000 0.3733
Ru 0.5000 0.5000 0.0364
Br 0.0000 0.0000 0.5793

Computed properties:
crystal system = tetragonal
magnetic moment = 1.06 μB/f.u.

=====

Model B:
Here is a relaxed Tl2RuBr crystal from Alexandria. Energies are from GGA-PBE.

Unit cell a=5.3457 b=5.3457 c=5.3457 alpha=60.00 beta=60.00 gamma=60.00
Fractional positions:
Tl 0.2500 0.2500 0.2500
Tl 0.7500 0.7500 0.7500
Ru 0.0000 0.0000 0.0000
Br 0.5000 0.5000 0.5000

Computed properties:
crystal system = cubic
magnetic moment = 2.55 μB/f.u.

=====

Ranked by calculated energy, most stable first: model A, model B.

=====

Model A:
Here is a relaxed Tl2RuBr crystal from Alexandria. Energies are from GGA-PBE.

Unit cell a=8.5101 b=8.5101 c=8.5101 alpha=158.17 beta=151.36 gamma=36.30
Fractional positions:
Tl 0.0000 0.0000 0.0000
Tl 0.6563 0.1563 0.5000
Ru 0.4402 0.4402 0.0000
Br 0.3238 0.8238 0.5000

Computed properties:
crystal system = orthorhombic
magnetic moment = 0.00 μB/f.u.

=====

Model B:
Here is a relaxed Tl2RuBr crystal from Alexandria. Energies are from GGA-PBE.

Unit cell a=3.3937 b=3.3937 c=8.4855 alpha=90.00 beta=90.00 gamma=90.00
Fractional positions:
Tl 0.0000 0.0000 0.0000
Tl 0.5000 0.5000 0.3004
Ru 0.5000 0.5000 0.8068
Br 0.0000 0.0000 0.6194

Computed properties:
crystal system = tetragonal
magnetic moment = 1.61 μB/f.u.

=====

Ranked by calculated energy, most stable first: model A, model B.

=====

Model A:
Here is a relaxed Tl3RuBr crystal from Alexandria. Energies are from GGA-PBE.

Unit cell a=5.3257 b=5.3257 c=5.3257 alpha=90.00 beta=90.00 gamma=90.00
Fractional positions:
Tl 0.0000 0.0000 0.5000
Tl 0.0000 0.5000 0.0000
Tl 0.5000 0.0000 0.0000
Ru 0.0000 0.0000 0.0000
Br 0.5000 0.5000 0.5000

Computed properties:
crystal system = cubic
magnetic moment = 0.00 μB/f.u.

=====

Model B:
Here is a relaxed Tl3RuBr crystal from Alexandria. Energies are from GGA-PBE.

Unit cell a=5.9702 b=5.9702 c=5.9702 alpha=90.00 beta=90.00 gamma=90.00
Fractional positions:
Tl 0.0000 0.0000 0.5000
Tl 0.0000 0.5000 0.0000
Tl 0.5000 0.0000 0.0000
Ru 0.5000 0.5000 0.5000
Br 0.0000 0.0000 0.0000

Computed properties:
crystal system = cubic
magnetic moment = 2.39 μB/f.u.

=====

Ranked by calculated energy, most stable first: model A, model B.

=====

Model A:
Here is a relaxed Tl3RuBr6 crystal from Alexandria. Energies are from GGA-PBE.

Unit cell a=8.8641 b=8.2262 c=7.3988 alpha=68.89 beta=59.97 gamma=51.14
Fractional positions:
Tl 0.0000 0.0000 0.0000
Tl 0.2500 0.2500 0.2500
Tl 0.7500 0.7500 0.7500
Ru 0.5000 0.5000 0.5000
Br 0.1786 0.5595 0.8214
Br 0.2780 0.7220 0.2780
Br 0.4405 0.8214 0.5595
Br 0.5595 0.1786 0.4405
Br 0.7220 0.2780 0.7220
Br 0.8214 0.4405 0.1786

Computed properties:
crystal system = orthorhombic
magnetic moment = 1.02 μB/f.u.

=====

Model B:
Here is a relaxed Tl3RuBr6 crystal from Alexandria. Energies are from GGA-PBE.

Unit cell a=7.4511 b=8.2691 c=12.9794 alpha=90.00 beta=122.50 gamma=90.00
Fractional positions:
Tl 0.0000 0.0000 0.0000
Tl 0.0000 0.5000 0.5000
Tl 0.2107 0.0767 0.7438
Tl 0.2107 0.4233 0.2438
Tl 0.7893 0.5767 0.7562
Tl 0.7893 0.9233 0.2562
Ru 0.5000 0.0000 0.5000
Ru 0.5000 0.5000 0.0000
Br 0.1790 0.1587 0.4621
Br 0.1790 0.3413 0.9621
Br 0.2817 0.7412 0.4348
Br 0.2817 0.7588 0.9348
Br 0.3961 0.0492 0.2823
Br 0.3961 0.4508 0.7823
Br 0.6039 0.5492 0.2177
Br 0.6039 0.9508 0.7177
Br 0.7183 0.2412 0.0652
Br 0.7183 0.2588 0.5652
Br 0.8210 0.6587 0.0379
Br 0.8210 0.8413 0.5379

Computed properties:
crystal system = monoclinic
magnetic moment = 1.02 μB/f.u.

=====

Ranked by calculated energy, most stable first: model B, model A.

=====

Model A:
Here is a relaxed TlRuBr6 crystal from Alexandria. Energies are from GGA-PBE.

Unit cell a=6.8054 b=6.8054 c=6.8686 alpha=99.64 beta=99.64 gamma=119.42
Fractional positions:
Tl 0.0000 0.0000 0.0000
Ru 0.5000 0.5000 0.5000
Br 0.1287 0.4300 0.2745
Br 0.2708 0.2708 0.7166
Br 0.4300 0.1287 0.2745
Br 0.5700 0.8713 0.7255
Br 0.7292 0.7292 0.2834
Br 0.8713 0.5700 0.7255

Computed properties:
crystal system = monoclinic
magnetic moment = 1.04 μB/f.u.

=====

Model B:
Here is a relaxed TlRuBr6 crystal from Alexandria. Energies are from GGA-PBE.

Unit cell a=7.5379 b=7.5379 c=7.5379 alpha=54.93 beta=54.93 gamma=54.93
Fractional positions:
Tl 0.0000 0.0000 0.0000
Ru 0.5000 0.5000 0.5000
Br 0.1063 0.6850 0.4853
Br 0.3150 0.5147 0.8937
Br 0.4853 0.1063 0.6850
Br 0.5147 0.8937 0.3150
Br 0.6850 0.4853 0.1063
Br 0.8937 0.3150 0.5147

Computed properties:
crystal system = trigonal
magnetic moment = 2.98 μB/f.u.

=====

Ranked by calculated energy, most stable first: model A, model B.

=====

Model A:
Here is a relaxed V2Ru2Br crystal from Alexandria. Energies are from GGA-PBE.

Unit cell a=7.3180 b=7.3180 c=2.9503 alpha=90.00 beta=90.00 gamma=90.00
Fractional positions:
V 0.1454 0.3546 0.0000
V 0.3546 0.8546 0.0000
V 0.6454 0.1454 0.0000
V 0.8546 0.6454 0.0000
Ru 0.1361 0.6361 0.5000
Ru 0.3639 0.1361 0.5000
Ru 0.6361 0.8639 0.5000
Ru 0.8639 0.3639 0.5000
Br 0.0000 0.0000 0.0000
Br 0.5000 0.5000 0.0000

Computed properties:
crystal system = tetragonal
magnetic moment = 0.00 μB/f.u.

=====

Model B:
Here is a relaxed V2Ru2Br crystal from Alexandria. Energies are from GGA-PBE.

Unit cell a=7.0955 b=7.0955 c=7.0955 alpha=148.66 beta=148.66 gamma=44.91
Fractional positions:
V 0.1372 0.1372 0.0000
V 0.8628 0.8628 0.0000
Ru 0.2500 0.7500 0.5000
Ru 0.7500 0.2500 0.5000
Br 0.5000 0.5000 0.0000

Computed properties:
crystal system = tetragonal
magnetic moment = 1.22 μB/f.u.

=====

Ranked by calculated energy, most stable first: model A, model B.

=====

Model A:
Here is a relaxed VRu3Br crystal from Alexandria. Energies are from GGA-PBE.

Unit cell a=4.5229 b=4.5229 c=4.5229 alpha=90.00 beta=90.00 gamma=90.00
Fractional positions:
V 0.0000 0.0000 0.0000
Ru 0.0000 0.5000 0.5000
Ru 0.5000 0.0000 0.5000
Ru 0.5000 0.5000 0.0000
Br 0.5000 0.5000 0.5000

Computed properties:
crystal system = cubic
magnetic moment = 0.90 μB/f.u.

=====

Model B:
Here is a relaxed VRu3Br crystal from Alexandria. Energies are from GGA-PBE.

Unit cell a=4.5884 b=4.5884 c=4.5884 alpha=90.00 beta=90.00 gamma=90.00
Fractional positions:
V 0.0000 0.0000 0.0000
Ru 0.0000 0.0000 0.5000
Ru 0.0000 0.5000 0.0000
Ru 0.5000 0.0000 0.0000
Br 0.5000 0.5000 0.5000

Computed properties:
crystal system = cubic
magnetic moment = 3.83 μB/f.u.

=====

Ranked by calculated energy, most stable first: model B, model A.

=====

Model A:
Here is a relaxed RuWBr2 crystal from Alexandria. Energies are from GGA-PBE.

Unit cell a=4.5323 b=4.5323 c=4.5323 alpha=110.51 beta=110.51 gamma=107.42
Fractional positions:
Ru 0.0000 0.0000 0.0000
W 0.2500 0.7500 0.5000
Br 0.5000 0.5000 0.0000
Br 0.7500 0.2500 0.5000

Computed properties:
crystal system = tetragonal
magnetic moment = 0.63 μB/f.u.

=====

Model B:
Here is a relaxed RuWBr2 crystal from Alexandria. Energies are from GGA-PBE.

Unit cell a=8.8595 b=8.8595 c=8.8595 alpha=20.33 beta=20.33 gamma=20.33
Fractional positions:
Ru 0.0000 0.0000 0.0000
W 0.5000 0.5000 0.5000
Br 0.0925 0.0925 0.0925
Br 0.9075 0.9075 0.9075

Computed properties:
crystal system = trigonal
magnetic moment = 0.00 μB/f.u.

=====

Ranked by calculated energy, most stable first: model B, model A.

=====

Model A:
Here is a relaxed RuWBr2 crystal from Alexandria. Energies are from GGA-PBE.

Unit cell a=6.7953 b=6.7953 c=6.7953 alpha=129.95 beta=129.95 gamma=73.49
Fractional positions:
Ru 0.0000 0.0000 0.0000
Ru 0.7500 0.2500 0.5000
W 0.2500 0.7500 0.5000
W 0.5000 0.5000 0.0000
Br 0.1239 0.6250 0.9989
Br 0.3750 0.3739 0.4989
Br 0.6261 0.1250 0.0011
Br 0.8750 0.8761 0.5011

Computed properties:
crystal system = tetragonal
magnetic moment = 0.00 μB/f.u.

=====

Model B:
Here is a relaxed RuWBr2 crystal from Alexandria. Energies are from GGA-PBE.

Unit cell a=7.9519 b=7.9519 c=7.9519 alpha=157.04 beta=149.60 gamma=38.44
Fractional positions:
Ru 0.0000 0.0000 0.0000
W 0.5000 0.5000 0.0000
Br 0.3574 0.8574 0.5000
Br 0.6426 0.1426 0.5000

Computed properties:
crystal system = orthorhombic
magnetic moment = 0.00 μB/f.u.

=====

Ranked by calculated energy, most stable first: model B, model A.

=====

Model A:
Here is a relaxed RuWBr2 crystal from Alexandria. Energies are from GGA-PBE.

Unit cell a=5.3120 b=5.3120 c=3.1576 alpha=105.19 beta=105.19 gamma=112.19
Fractional positions:
Ru 0.0000 0.0000 0.0000
W 0.5000 0.5000 0.0000
Br 0.0000 0.5000 0.0000
Br 0.5000 0.0000 0.0000

Computed properties:
crystal system = monoclinic
magnetic moment = 0.40 μB/f.u.

=====

Model B:
Here is a relaxed RuWBr2 crystal from Alexandria. Energies are from GGA-PBE.

Unit cell a=3.5746 b=3.5746 c=9.0905 alpha=96.50 beta=96.50 gamma=56.95
Fractional positions:
Ru 0.0000 0.0000 0.0000
W 0.6588 0.6588 0.8495
Br 0.1128 0.1128 0.6188
Br 0.3577 0.3577 0.2085

Computed properties:
crystal system = monoclinic
magnetic moment = 0.00 μB/f.u.

=====

Ranked by calculated energy, most stable first: model B, model A.

=====

Model A:
Here is a relaxed RuWBr2 crystal from Alexandria. Energies are from GGA-PBE.

Unit cell a=4.5425 b=4.5425 c=4.5425 alpha=60.00 beta=60.00 gamma=60.00
Fractional positions:
Ru 0.0000 0.0000 0.0000
W 0.5000 0.5000 0.5000
Br 0.2500 0.2500 0.2500
Br 0.7500 0.7500 0.7500

Computed properties:
crystal system = cubic
magnetic moment = 0.00 μB/f.u.

=====

Model B:
Here is a relaxed RuWBr2 crystal from Alexandria. Energies are from GGA-PBE.

Unit cell a=9.2803 b=9.2803 c=9.2803 alpha=21.85 beta=21.85 gamma=21.85
Fractional positions:
Ru 0.0000 0.0000 0.0000
W 0.7159 0.7159 0.7159
Br 0.2629 0.2629 0.2629
Br 0.4565 0.4565 0.4565

Computed properties:
crystal system = trigonal
magnetic moment = 0.00 μB/f.u.

=====

Model C:
Here is a relaxed RuWBr2 crystal from Alexandria. Energies are from GGA-PBE.

Unit cell a=3.1315 b=4.4307 c=5.2818 alpha=90.00 beta=94.33 gamma=90.00
Fractional positions:
Ru 0.0000 0.0000 0.0000
W 0.5000 0.0000 0.5000
Br 0.2723 0.5000 0.2497
Br 0.7277 0.5000 0.7503

Computed properties:
crystal system = monoclinic
magnetic moment = 0.01 μB/f.u.

=====

Model D:
Here is a relaxed RuWBr2 crystal from Alexandria. Energies are from GGA-PBE.

Unit cell a=4.6655 b=4.6655 c=4.6655 alpha=60.00 beta=60.00 gamma=60.00
Fractional positions:
Ru 0.0000 0.0000 0.0000
W 0.7500 0.7500 0.7500
Br 0.2500 0.2500 0.2500
Br 0.5000 0.5000 0.5000

Computed properties:
crystal system = cubic
magnetic moment = 0.00 μB/f.u.

=====

Ranked by calculated energy, most stable first: model B, model C, model A, model D.

=====

Model A:
Here is a relaxed RuWBr2 crystal from Alexandria. Energies are from GGA-PBE.

Unit cell a=7.5644 b=7.5644 c=4.2369 alpha=95.91 beta=95.91 gamma=24.19
Fractional positions:
Ru 0.0000 0.0000 0.0000
W 0.5000 0.5000 0.5000
Br 0.1407 0.1407 0.7088
Br 0.8593 0.8593 0.2912

Computed properties:
crystal system = monoclinic
magnetic moment = 0.00 μB/f.u.

=====

Model B:
Here is a relaxed RuWBr2 crystal from Alexandria. Energies are from GGA-PBE.

Unit cell a=2.9616 b=4.4707 c=5.5031 alpha=90.00 beta=90.00 gamma=90.00
Fractional positions:
Ru 0.0000 0.0000 0.0000
W 0.5000 0.0000 0.5000
Br 0.0000 0.5000 0.5000
Br 0.5000 0.5000 0.0000

Computed properties:
crystal system = orthorhombic
magnetic moment = 0.68 μB/f.u.

=====

Ranked by calculated energy, most stable first: model A, model B.